LiNi2P2O8 GGA+U relaxed; mass density = 3.7 g/cm3; ΔE to the lowest computed polymorph = 0 meV per atom; calculated volume = 10.8 Å³/atom
1.0
4.768 0.000 0.000
0.000 10.097 0.000
-0.147 0.000 5.816
Li Ni P O
2 4 4 16
Direct
0.250 0.000 0.250 Li
0.750 0.500 0.750 Li
0.226 0.274 0.998 Ni
0.274 0.728 0.502 Ni
0.726 0.228 0.498 Ni
0.774 0.774 0.002 Ni
0.169 0.406 0.497 P
0.331 0.595 0.003 P
0.669 0.095 0.997 P
0.831 0.906 0.503 P
0.012 0.607 0.989 O
0.017 0.336 0.706 O
0.028 0.329 0.292 O
0.071 0.551 0.502 O
0.429 0.450 0.998 O
0.472 0.673 0.208 O
0.483 0.666 0.794 O
0.488 0.395 0.511 O
0.512 0.895 0.489 O
0.517 0.166 0.206 O
0.528 0.173 0.792 O
0.571 0.950 0.002 O
0.929 0.051 0.498 O
0.972 0.829 0.708 O
0.983 0.836 0.294 O
0.988 0.107 0.011 O